No. 1
Compound: Tl2Bi2Br
Source: the Alexandria database
Functional: PBE-GGA
Structure: relaxed

Lattice parameters (Å, degrees): 4.722 4.722 8.242 73.35 73.35 90.00
Positions (direct):
1 Tl 0.250 0.750 0.500
2 Bi 0.391 0.391 0.218
3 Bi 0.609 0.609 0.782
4 Br 0.000 0.000 0.000
5 Tl 0.750 0.250 0.500

Results
Symmetry: I4/mmm, No. 139
Formation energy (no corrections) (eV/f.u.): 0.14
V (Å³/cell): 168.0
VASP energy (eV per cell): -14.0

=====

No. 2
Compound: TlBi2Br6
Source: the Alexandria database
Functional: PBE-GGA
Structure: relaxed

Lattice parameters (Å, degrees): 11.587 9.801 9.801 86.04 66.38 66.38
Positions (direct):
1 Bi 0.219 0.301 0.438
2 Tl 0.250 0.058 0.942
3 Br 0.472 0.362 0.396
4 Bi 0.781 0.699 0.562
5 Br 0.112 0.802 0.917
6 Br 0.668 0.644 0.115
7 Br 0.612 0.917 0.802
8 Br 0.972 0.396 0.362
9 Br 0.832 0.885 0.356
10 Br 0.888 0.198 0.083
11 Bi 0.281 0.562 0.699
12 Br 0.388 0.083 0.198
13 Tl 0.750 0.942 0.058
14 Br 0.528 0.638 0.604
15 Br 0.332 0.356 0.885
16 Br 0.028 0.604 0.638
17 Bi 0.719 0.438 0.301
18 Br 0.168 0.115 0.644

Results
Symmetry: C2/c, No. 15
Formation energy (no corrections) (eV/f.u.): -5.64
V (Å³/cell): 928.9
VASP energy (eV per cell): -51.6

=====

No. 3
Compound: TlBi3Br
Source: the Alexandria database
Functional: PBE-GGA
Structure: relaxed

Lattice parameters (Å, degrees): 5.833 5.833 5.833 90.00 90.00 90.00
Positions (direct):
1 Bi 0.500 0.000 0.000
2 Br 0.000 0.000 0.000
3 Bi 0.000 0.500 0.000
4 Tl 0.500 0.500 0.500
5 Bi 0.000 0.000 0.500

Results
Symmetry: Pm-3m, No. 221
Formation energy (no corrections) (eV/f.u.): 2.97
V (Å³/cell): 198.4
VASP energy (eV per cell): -12.7

=====

No. 4
Compound: TlBi3Br
Source: the Alexandria database
Functional: PBE-GGA
Structure: relaxed

Lattice parameters (Å, degrees): 5.891 5.891 5.891 90.00 90.00 90.00
Positions (direct):
1 Br 0.500 0.500 0.500
2 Tl 0.000 0.000 0.000
3 Bi 0.000 0.000 0.500
4 Bi 0.000 0.500 0.000
5 Bi 0.500 0.000 0.000

Results
Symmetry: Pm-3m, No. 221
Formation energy (no corrections) (eV/f.u.): 3.34
V (Å³/cell): 204.4
VASP energy (eV per cell): -12.3

=====

No. 5
Compound: TlV2BiBr
Source: the Alexandria database
Functional: PBE-GGA
Structure: relaxed

Lattice parameters (Å, degrees): 5.319 6.620 5.319 90.00 90.00 90.00
Site moments in Bohr magnetons follow the coordinates.
Positions (direct):
1 Tl 0.000 0.500 0.000  -0.01
2 V 0.000 0.000 0.500  3.19
3 Br 0.500 0.500 0.500  0.06
4 V 0.500 0.000 0.000  2.59
5 Bi 0.000 0.000 0.000  -0.18

Results
Symmetry: P4/mmm, No. 123
Formation energy (no corrections) (eV/f.u.): 4.45
V (Å³/cell): 187.3
VASP energy (eV per cell): -21.7

=====

No. 6
Compound: TlVBiBr6
Source: the Alexandria database
Functional: PBE-GGA
Structure: relaxed

Lattice parameters (Å, degrees): 7.227 7.227 14.495 90.00 90.00 120.00
Site moments in Bohr magnetons follow the coordinates.
Positions (direct):
1 Br 0.974 0.616 0.858  -0.01
2 V 0.667 0.333 0.750  2.58
3 Br 0.026 0.643 0.358  -0.01
4 Br 0.643 0.026 0.858  -0.01
5 Bi 0.333 0.667 0.750  0.05
6 Br 0.616 0.643 0.142  -0.01
7 Br 0.616 0.974 0.358  -0.01
8 Br 0.974 0.357 0.642  -0.01
9 Br 0.384 0.357 0.858  -0.01
10 V 0.333 0.667 0.250  2.58
11 Br 0.357 0.974 0.142  -0.01
12 Br 0.357 0.384 0.358  -0.01
13 Br 0.643 0.616 0.642  -0.01
14 Tl 0.000 0.000 0.500  0.01
15 Bi 0.667 0.333 0.250  0.05
16 Br 0.026 0.384 0.142  -0.01
17 Tl 0.000 0.000 0.000  0.01
18 Br 0.384 0.026 0.642  -0.01

Results
Symmetry: P-31c, No. 163
Formation energy (no corrections) (eV/f.u.): -7.09
V (Å³/cell): 655.7
VASP energy (eV per cell): -65.0

=====

No. 7
Compound: TlZn2BiBr
Source: the Alexandria database
Functional: PBE-GGA
Structure: relaxed

Lattice parameters (Å, degrees): 5.131 6.005 5.131 90.00 90.00 90.00
Positions (direct):
1 Tl 0.000 0.000 0.000
2 Zn 0.000 0.000 0.500
3 Zn 0.500 0.000 0.000
4 Br 0.000 0.500 0.000
5 Bi 0.500 0.500 0.500

Results
Symmetry: P4/mmm, No. 123
Formation energy (no corrections) (eV/f.u.): 2.17
V (Å³/cell): 158.1
VASP energy (eV per cell): -8.3

=====

No. 8
Compound: TmBiBr
Source: the Alexandria database
Functional: PBE-GGA
Structure: relaxed

Lattice parameters (Å, degrees): 3.659 5.096 5.096 120.00 90.00 90.00
Positions (direct):
1 Br 0.166 0.333 0.667
2 Bi 0.667 0.667 0.333
3 Tm 0.167 0.000 0.000

Results
Symmetry: P-6m2, No. 187
Formation energy (no corrections) (eV/f.u.): -2.28
V (Å³/cell): 82.3
VASP energy (eV per cell): -12.3

=====

No. 9
Compound: TmBiBr
Source: the Alexandria database
Functional: PBE-GGA
Structure: relaxed

Lattice parameters (Å, degrees): 4.595 14.980 7.693 106.49 107.38 90.00
Positions (direct):
1 Br 0.165 0.385 0.329
2 Br 0.835 0.615 0.671
3 Bi 0.350 0.344 0.699
4 Tm 0.692 0.274 0.385
5 Bi 0.649 0.067 0.298
6 Bi 0.650 0.656 0.301
7 Br 0.484 0.227 0.968
8 Tm 0.706 0.885 0.412
9 Bi 0.351 0.933 0.702
10 Tm 0.294 0.115 0.588
11 Br 0.516 0.773 0.032
12 Tm 0.308 0.726 0.615

Results
Symmetry: C2/m, No. 12
Formation energy (no corrections) (eV/f.u.): -2.29
V (Å³/cell): 482.5
VASP energy (eV per cell): -49.3

=====

No. 10
Compound: UBiBr
Source: the Alexandria database
Functional: PBE-GGA
Structure: relaxed

Lattice parameters (Å, degrees): 3.434 3.434 9.207 79.25 79.25 60.00
Site moments in Bohr magnetons follow the coordinates.
Positions (direct):
1 U 0.366 0.366 0.903  2.37
2 Br 0.112 0.112 0.664  -0.04
3 Bi 0.596 0.596 0.213  -0.06

Results
Symmetry: R3m, No. 160
Formation energy (no corrections) (eV/f.u.): -1.05
V (Å³/cell): 91.8
VASP energy (eV per cell): -17.9

=====

No. 11
Compound: UBiBr6
Source: the Alexandria database
Functional: PBE-GGA
Structure: relaxed

Lattice parameters (Å, degrees): 7.184 7.187 7.788 62.54 62.56 60.04
Site moments in Bohr magnetons follow the coordinates.
Positions (direct):
1 Br 0.249 0.918 0.247  -0.01
2 Br 0.751 0.082 0.753  -0.01
3 Br 0.587 0.249 0.247  -0.01
4 Br 0.918 0.586 0.247  -0.01
5 Br 0.082 0.414 0.753  -0.01
6 Bi 0.500 0.500 0.500  0.14
7 Br 0.413 0.751 0.753  -0.01
8 U 0.000 0.000 0.000  2.76

Results
Symmetry: R-3, No. 148
Formation energy (no corrections) (eV/f.u.): -7.77
V (Å³/cell): 294.9
VASP energy (eV per cell): -33.0

=====

No. 12
Compound: VBiBr
Source: the Alexandria database
Functional: PBE-GGA
Structure: relaxed

Lattice parameters (Å, degrees): 3.156 7.329 15.505 90.00 90.00 90.00
Positions (direct):
1 V 0.750 0.968 0.432
2 Bi 0.250 0.202 0.932
3 Bi 0.250 0.298 0.432
4 V 0.250 0.032 0.568
5 Br 0.250 0.700 0.836
6 V 0.250 0.468 0.068
7 Br 0.750 0.300 0.164
8 Bi 0.750 0.702 0.568
9 Br 0.750 0.200 0.664
10 Bi 0.750 0.798 0.068
11 V 0.750 0.532 0.932
12 Br 0.250 0.800 0.336

Results
Symmetry: Pnma, No. 62
Formation energy (no corrections) (eV/f.u.): -0.36
V (Å³/cell): 358.6
VASP energy (eV per cell): -60.1

=====

No. 13
Compound: VBi3Br
Source: the Alexandria database
Functional: PBE-GGA
Structure: relaxed

Lattice parameters (Å, degrees): 5.615 5.615 5.615 90.00 90.00 90.00
Site moments in Bohr magnetons follow the coordinates.
Positions (direct):
1 Bi 0.000 0.500 0.000  -0.13
2 Bi 0.500 0.000 0.000  -0.13
3 V 0.500 0.500 0.500  3.02
4 Br 0.000 0.000 0.000  -0.01
5 Bi 0.000 0.000 0.500  -0.13

Results
Symmetry: Pm-3m, No. 221
Formation energy (no corrections) (eV/f.u.): 5.77
V (Å³/cell): 177.0
VASP energy (eV per cell): -16.7

=====

No. 14
Compound: VBiBr2
Source: the Alexandria database
Functional: PBE-GGA
Structure: relaxed

Lattice parameters (Å, degrees): 9.243 9.243 7.093 49.35 49.35 90.00
Site moments in Bohr magnetons follow the coordinates.
Positions (direct):
1 V 0.250 0.750 0.500  2.14
2 Br 0.875 0.737 0.750  -0.01
3 Br 0.375 0.513 0.750  -0.01
4 Br 0.487 0.125 0.250  -0.01
5 Bi 0.000 0.000 0.000  -0.23
6 Bi 0.750 0.250 0.500  -0.23
7 Br 0.263 0.625 0.250  -0.01
8 V 0.500 0.500 0.000  2.14

Results
Symmetry: I-42d, No. 122
Formation energy (no corrections) (eV/f.u.): -0.38
V (Å³/cell): 235.5
VASP energy (eV per cell): -33.5

=====

No. 15
Compound: VBiBr2
Source: the Alexandria database
Functional: PBE-GGA
Structure: relaxed

Lattice parameters (Å, degrees): 5.216 5.216 5.216 60.00 60.00 60.00
Site moments in Bohr magnetons follow the coordinates.
Positions (direct):
1 Br 0.750 0.750 0.750  -0.02
2 V 0.000 0.000 0.000  2.96
3 Br 0.250 0.250 0.250  -0.02
4 Bi 0.500 0.500 0.500  -0.03

Results
Symmetry: Fm-3m, No. 225
Formation energy (no corrections) (eV/f.u.): 1.67
V (Å³/cell): 100.3
VASP energy (eV per cell): -14.7

=====

No. 16
Compound: VBi2Br2
Source: the Alexandria database
Functional: PBE-GGA
Structure: relaxed

Lattice parameters (Å, degrees): 3.883 3.883 10.810 79.65 79.65 90.00
Site moments in Bohr magnetons follow the coordinates.
Positions (direct):
1 Bi 0.572 0.572 0.855  -0.11
2 Br 0.750 0.250 0.500  0.00
3 V 0.000 0.000 0.000  2.30
4 Bi 0.428 0.428 0.145  -0.11
5 Br 0.250 0.750 0.500  0.00

Results
Symmetry: I4/mmm, No. 139
Formation energy (no corrections) (eV/f.u.): 1.71
V (Å³/cell): 157.7
VASP energy (eV per cell): -18.5

=====

No. 17
Compound: VBiBr2
Source: the Alexandria database
Functional: PBE-GGA
Structure: relaxed

Lattice parameters (Å, degrees): 12.103 12.103 12.103 17.19 17.19 17.19
Site moments in Bohr magnetons follow the coordinates.
Positions (direct):
1 Br 0.123 0.123 0.123  -0.02
2 Bi 0.000 0.000 0.000  0.18
3 Br 0.877 0.877 0.877  -0.02
4 V 0.500 0.500 0.500  2.61

Results
Symmetry: R-3m, No. 166
Formation energy (no corrections) (eV/f.u.): -1.39
V (Å³/cell): 135.1
VASP energy (eV per cell): -17.7

=====

No. 18
Compound: VBi3Br
Source: the Alexandria database
Functional: PBE-GGA
Structure: relaxed

Lattice parameters (Å, degrees): 5.280 5.280 5.280 90.00 90.00 90.00
Positions (direct):
1 Bi 0.000 0.000 0.500
2 V 0.000 0.000 0.000
3 Bi 0.000 0.500 0.000
4 Br 0.500 0.500 0.500
5 Bi 0.500 0.000 0.000

Results
Symmetry: Pm-3m, No. 221
Formation energy (no corrections) (eV/f.u.): 0.61
V (Å³/cell): 147.2
VASP energy (eV per cell): -21.8

=====

No. 19
Compound: VBiBr3
Source: the Alexandria database
Functional: PBE-GGA
Structure: relaxed

Lattice parameters (Å, degrees): 5.168 5.168 5.168 90.00 90.00 90.00
Site moments in Bohr magnetons follow the coordinates.
Positions (direct):
1 Br 0.000 0.500 0.000  -0.02
2 Bi 0.500 0.500 0.500  0.15
3 Br 0.500 0.000 0.000  -0.02
4 Br 0.000 0.000 0.500  -0.02
5 V 0.000 0.000 0.000  2.59

Results
Symmetry: Pm-3m, No. 221
Formation energy (no corrections) (eV/f.u.): -0.82
V (Å³/cell): 138.0
VASP energy (eV per cell): -18.8

=====

No. 20
Compound: VBi2Br2
Source: the Alexandria database
Functional: PBE-GGA
Structure: relaxed

Lattice parameters (Å, degrees): 7.531 7.531 5.707 90.00 90.00 90.00
Site moments in Bohr magnetons follow the coordinates.
Positions (direct):
1 Bi 0.852 0.648 0.000  -0.05
2 Bi 0.648 0.148 0.000  -0.05
3 Br 0.791 0.709 0.500  0.02
4 Br 0.291 0.791 0.500  0.02
5 Br 0.209 0.291 0.500  0.02
6 V 0.000 0.000 0.000  2.50
7 Br 0.709 0.209 0.500  0.02
8 V 0.500 0.500 0.000  2.50
9 Bi 0.352 0.852 0.000  -0.05
10 Bi 0.148 0.352 0.000  -0.05

Results
Symmetry: P4/mbm, No. 127
Formation energy (no corrections) (eV/f.u.): 0.55
V (Å³/cell): 323.7
VASP energy (eV per cell): -39.3